LiSiTe2 | PBE-GGA | optimized geometry

Cell lengths 3.6561, 3.9520, 13.8928 Å; angles 90.00, 90.00, 90.00 degrees
Space group Imm2 (No. 44)
Unique sites:
Li: 0.0000 0.0000 0.0000
Si: 0.0000 0.5000 0.7618
Te: 0.0000 0.0000 0.4121
Te: 0.0000 0.5000 0.1739

Output
**Energy relative to the lowest polymorph listed for this composition**: 17.0 kJ/mol of atoms
**E_form (uncorrected)**: -0.121 eV per atom
**Raw total energy**: -0.130 hartree per atom
**ρ**: 4.80 g/cm³